[1]
{"formula": "RuPbCl2", "functional": "PBE", "state": "relaxed", "lattice": [[3.317, 0.000, 0.000], [0.000, 4.579, 0.000], [0.000, 0.000, 5.745]], "species": ["Ru", "Pb", "Cl", "Cl"], "fractional_positions": [[0.000, 0.000, 0.000], [0.500, 0.000, 0.500], [0.000, 0.500, 0.500], [0.500, 0.500, 0.000]], "e_form_raw_ev_per_atom": 0.265, "sg": "Pmmm"}

[2]
{"formula": "TbPr2Y12", "functional": "PBE", "state": "relaxed", "lattice": [[3.549, -5.715, 0.000], [3.549, 5.715, 0.000], [0.000, 0.000, 24.947]], "species": ["Tb", "Tb", "Pr", "Pr", "Pr", "Pr", "Y", "Y", "Y", "Y", "Y", "Y", "Y", "Y", "Y", "Y", "Y", "Y", "Y", "Y", "Y", "Y", "Y", "Y", "Y", "Y", "Y", "Y", "Y", "Y"], "fractional_positions": [[0.250, 0.750, 0.000], [0.750, 0.250, 0.000], [0.250, 0.750, 0.270], [0.250, 0.750, 0.735], [0.750, 0.250, 0.265], [0.750, 0.250, 0.730], [0.001, 0.501, 0.126], [0.001, 0.999, 0.924], [0.012, 0.512, 0.584], [0.015, 0.985, 0.439], [0.250, 0.250, 0.198], [0.250, 0.250, 0.328], [0.250, 0.250, 0.672], [0.250, 0.250, 0.802], [0.485, 0.515, 0.439], [0.488, 0.988, 0.584], [0.499, 0.501, 0.924], [0.499, 0.999, 0.126], [0.501, 0.001, 0.874], [0.501, 0.499, 0.076], [0.512, 0.012, 0.416], [0.515, 0.485, 0.561], [0.750, 0.750, 0.198], [0.750, 0.750, 0.328], [0.750, 0.750, 0.672], [0.750, 0.750, 0.802], [0.985, 0.015, 0.561], [0.988, 0.488, 0.416], [0.999, 0.001, 0.076], [0.999, 0.499, 0.874]], "formation_energy_kcal_per_mol_atoms": 3.82, "sg": "Cmme"}

[3]
{"formula": "Ti3ReP", "functional": "PBE", "state": "relaxed", "lattice": [[4.717, 0.000, 0.000], [0.000, 4.717, 0.000], [0.000, 0.000, 4.717]], "species": ["Ti", "Ti", "Ti", "Re", "P"], "fractional_positions": [[0.000, 0.000, 0.500], [0.000, 0.500, 0.000], [0.500, 0.000, 0.000], [0.000, 0.000, 0.000], [0.500, 0.500, 0.500]], "formation_energy_kcal_per_mol_atoms": 16.56, "sg": "Pm-3m"}

[4]
{"formula": "Be3BiTe", "functional": "PBE", "state": "relaxed", "lattice": [[4.879, 0.000, 0.000], [0.000, 4.879, 0.000], [0.000, 0.000, 4.879]], "species": ["Be", "Be", "Be", "Bi", "Te"], "fractional_positions": [[0.000, 0.000, 0.500], [0.000, 0.500, 0.000], [0.500, 0.000, 0.000], [0.000, 0.000, 0.000], [0.500, 0.500, 0.500]], "e_form_raw_ev_per_atom": 1.117, "sg": "Pm-3m"}

[5]
{"formula": "CaAsSe", "functional": "PBE", "state": "relaxed", "lattice": [[-1.583, 1.583, 8.092], [1.583, -1.583, 8.092], [1.583, 1.583, -8.092]], "species": ["Ca", "As", "Se"], "fractional_positions": [[0.000, 0.000, 0.000], [0.362, 0.362, 0.000], [0.621, 0.621, 0.000]], "e_form_raw_ev_per_atom": -0.462, "sg": "I4mm"}

[6]
{"formula": "KTiCrH", "functional": "PBE", "state": "relaxed", "lattice": [[1.586, 0.915, 7.917], [-1.586, 0.915, 7.917], [0.000, -1.831, 7.917]], "species": ["K", "Ti", "Cr", "H"], "fractional_positions": [[0.000, 0.000, 0.000], [0.474, 0.474, 0.474], [0.209, 0.209, 0.209], [0.852, 0.852, 0.852]], "sg": "R3m"}

[7]
{"formula": "LaAl2Br", "functional": "PBE", "state": "relaxed", "lattice": [[2.231, 1.288, 7.718], [-2.231, 1.288, 7.718], [0.000, -2.577, 7.718]], "species": ["La", "Al", "Al", "Br"], "fractional_positions": [[0.000, 0.000, 0.000], [0.421, 0.421, 0.421], [0.747, 0.747, 0.747], [0.255, 0.255, 0.255]], "e_form_raw_ev_per_atom": -0.590, "sg": "R3m"}

[8]
{"formula": "HfScMoIr", "functional": "PBE", "state": "relaxed", "lattice": [[0.000, 3.270, 3.270], [3.270, 0.000, 3.270], [3.270, 3.270, 0.000]], "species": ["Hf", "Sc", "Mo", "Ir"], "fractional_positions": [[0.000, 0.000, 0.000], [0.500, 0.500, 0.500], [0.750, 0.750, 0.750], [0.250, 0.250, 0.250]], "formation_energy_kcal_per_mol_atoms": -10.37, "sg": "F-43m"}

no.,E_tot (eV per cell),magnetic moment (μB per cell),DOS at the Fermi energy (states/eV/f.u.)
1,-15.617,2.05,4.0
2,-178.549,0.00,26.0
3,-37.951,1.17,6.6
4,-12.618,0.00,2.3
5,-11.522,0.00,1.6
6,-19.639,0.00,4.5
7,-16.444,0.00,0.7
8,-37.775,0.00,6.8